[1]
DFT (SCAN) results for a PBEsol-optimized structure of Li2Mn3P3O12.

```
Li2Mn3P3O12
1.0
8.309 0.054 -0.038
3.756 7.685 -0.070
-3.756 -2.602 7.232
O Mn Li P
24 6 4 6
Direct
0.829 0.419 0.742 O
0.347 0.913 0.744 O
0.851 0.231 0.050 O
0.314 0.260 0.606 O
0.815 0.311 0.399 O
0.688 0.681 0.591 O
0.502 0.431 0.912 O
0.498 0.912 0.431 O
0.007 0.096 0.576 O
0.908 0.891 0.982 O
0.353 0.504 0.207 O
0.092 0.982 0.891 O
0.653 0.744 0.913 O
0.312 0.591 0.681 O
0.993 0.576 0.096 O
0.171 0.742 0.419 O
0.557 0.101 0.970 O
0.686 0.606 0.260 O
0.647 0.207 0.504 O
0.443 0.970 0.101 O
0.185 0.399 0.311 O
0.149 0.050 0.231 O
0.859 0.825 0.542 O
0.141 0.542 0.825 O
0.600 0.349 0.164 Mn
0.107 0.849 0.648 Mn
0.893 0.648 0.849 Mn
0.400 0.164 0.349 Mn
0.762 0.490 0.000 Mn
0.238 0.000 0.490 Mn
0.584 0.147 0.780 Li
0.000 0.339 0.339 Li
0.416 0.780 0.147 Li
0.500 0.635 0.635 Li
0.000 0.035 0.035 P
0.690 0.754 0.460 P
0.824 0.254 0.549 P
0.500 0.940 0.940 P
0.176 0.549 0.254 P
0.310 0.460 0.754 P
```

Calculated values
final energy = -10.677 eV per atom
mass density = 3.4 Mg/m³
symmetry = C2 (5)

[2]
DFT (SCAN) results for a PBEsol-optimized structure of LiMn2P2O10.

```
LiMn2P2O10
1.0
4.854 -0.013 0.000
-2.119 6.532 0.000
0.000 0.000 10.104
O Mn Li P
20 4 2 4
Direct
0.734 0.599 0.313 O
0.275 0.593 0.436 O
0.978 0.261 0.544 O
0.244 0.910 0.576 O
0.772 0.909 0.683 O
0.725 0.407 0.936 O
0.693 0.921 0.424 O
0.801 0.594 0.568 O
0.423 0.771 0.214 O
0.525 0.253 0.458 O
0.228 0.091 0.183 O
0.065 0.703 0.781 O
0.022 0.739 0.044 O
0.266 0.401 0.813 O
0.475 0.747 0.958 O
0.199 0.406 0.068 O
0.756 0.090 0.076 O
0.577 0.229 0.714 O
0.935 0.297 0.281 O
0.307 0.079 0.924 O
0.125 0.572 0.929 Mn
0.630 0.073 0.566 Mn
0.370 0.927 0.066 Mn
0.875 0.428 0.429 Mn
0.376 0.418 0.601 Li
0.624 0.582 0.101 Li
0.975 0.782 0.652 P
0.025 0.218 0.152 P
0.474 0.275 0.849 P
0.526 0.725 0.349 P
```

Calculated values
final energy = -10.295 eV per atom
mass density = 3.5 Mg/m³
symmetry = P2_1 (4)

[3]
DFT (SCAN) results for a PBEsol-optimized structure of LiMnP2O7.

```
LiMnP2O7
1.0
4.538 -0.005 -0.007
-1.003 5.120 0.017
-1.003 -1.136 4.992
Mn Li P O
1 1 2 7
Direct
0.500 0.873 0.127 Mn
0.500 0.249 0.751 Li
0.093 0.337 0.264 P
0.907 0.736 0.663 P
0.783 0.175 0.071 O
0.686 0.637 0.826 O
0.230 0.552 0.127 O
0.314 0.174 0.363 O
0.000 0.472 0.528 O
0.770 0.873 0.448 O
0.217 0.929 0.825 O
```

Calculated values
final energy = -10.190 eV per atom
mass density = 3.4 Mg/m³
symmetry = C2 (5)

[4]
DFT (SCAN) results for a PBEsol-optimized structure of Li3Mn2P3O12.

```
Li3Mn2P3O12
1.0
-6.790 -2.726 4.353
-3.243 -3.369 -7.168
6.278 -10.089 1.902
O Mn P Li
48 8 12 12
Direct
0.677 0.671 0.576 O
0.260 0.401 0.009 O
0.260 0.599 0.509 O
0.052 0.099 0.657 O
0.001 0.430 0.110 O
0.733 0.096 0.208 O
0.740 0.401 0.491 O
0.740 0.599 0.991 O
0.138 0.823 0.602 O
0.863 0.692 0.199 O
0.323 0.671 0.924 O
0.137 0.308 0.801 O
0.560 0.615 0.157 O
0.267 0.904 0.792 O
0.999 0.570 0.890 O
0.732 0.594 0.786 O
0.746 0.950 0.512 O
0.732 0.406 0.286 O
0.374 0.824 0.190 O
0.948 0.099 0.843 O
0.862 0.823 0.898 O
0.523 0.126 0.415 O
0.138 0.177 0.102 O
0.560 0.385 0.657 O
0.374 0.176 0.690 O
0.268 0.406 0.214 O
0.626 0.176 0.810 O
0.626 0.824 0.310 O
0.863 0.308 0.699 O
0.862 0.177 0.398 O
0.440 0.385 0.843 O
0.523 0.874 0.915 O
0.440 0.615 0.343 O
0.137 0.692 0.301 O
0.254 0.050 0.488 O
0.677 0.329 0.076 O
0.477 0.126 0.085 O
0.268 0.594 0.714 O
0.999 0.430 0.390 O
0.733 0.904 0.708 O
0.254 0.950 0.988 O
0.323 0.329 0.424 O
0.001 0.570 0.610 O
0.948 0.901 0.343 O
0.267 0.096 0.292 O
0.052 0.901 0.157 O
0.477 0.874 0.585 O
0.746 0.050 0.012 O
0.791 0.501 0.643 Mn
0.278 0.992 0.646 Mn
0.791 0.499 0.143 Mn
0.278 0.008 0.146 Mn
0.209 0.499 0.357 Mn
0.722 0.008 0.354 Mn
0.722 0.992 0.854 Mn
0.209 0.501 0.857 Mn
0.655 0.150 0.095 P
0.000 0.791 0.250 P
0.164 0.641 0.609 P
0.500 0.720 0.250 P
0.655 0.850 0.595 P
0.836 0.641 0.891 P
0.345 0.150 0.405 P
0.000 0.209 0.750 P
0.345 0.850 0.905 P
0.836 0.359 0.391 P
0.164 0.359 0.109 P
0.500 0.280 0.750 P
0.000 0.095 0.250 Li
0.000 0.905 0.750 Li
0.500 0.500 0.000 Li
0.671 0.802 0.049 Li
0.500 0.500 0.500 Li
0.500 0.418 0.250 Li
0.000 0.000 0.500 Li
0.329 0.802 0.451 Li
0.000 0.000 0.000 Li
0.671 0.198 0.549 Li
0.329 0.198 0.951 Li
0.500 0.582 0.750 Li
```

Calculated values
final energy = -9.912 eV per atom
mass density = 3.2 Mg/m³
symmetry = P2/c (13)

[5]
DFT (SCAN) results for a PBEsol-optimized structure of LiMn6PO12.

```
LiMn6PO12
1.0
-8.045 2.376 -4.064
-1.717 -8.974 -1.847
0.504 2.454 11.127
O Li Mn P
48 4 24 4
Direct
0.308 0.785 0.852 O
0.960 0.945 0.094 O
0.828 0.510 0.361 O
0.290 0.805 0.406 O
0.534 0.852 0.361 O
0.715 0.192 0.148 O
0.760 0.284 0.861 O
0.134 0.150 0.094 O
0.490 0.466 0.639 O
0.422 0.240 0.139 O
0.195 0.884 0.594 O
0.900 0.384 0.594 O
0.216 0.740 0.139 O
0.817 0.795 0.352 O
0.716 0.898 0.139 O
0.535 0.558 0.352 O
0.328 0.352 0.361 O
0.433 0.955 0.148 O
0.215 0.455 0.148 O
0.034 0.010 0.361 O
0.602 0.784 0.861 O
0.790 0.100 0.406 O
0.616 0.305 0.406 O
0.045 0.285 0.852 O
0.545 0.067 0.852 O
0.933 0.692 0.148 O
0.350 0.366 0.906 O
0.102 0.578 0.861 O
0.634 0.445 0.094 O
0.942 0.965 0.648 O
0.260 0.078 0.861 O
0.648 0.966 0.639 O
0.148 0.172 0.639 O
0.695 0.210 0.594 O
0.990 0.672 0.639 O
0.055 0.866 0.906 O
0.317 0.058 0.352 O
0.705 0.683 0.648 O
0.442 0.183 0.648 O
0.035 0.295 0.352 O
0.922 0.398 0.139 O
0.116 0.600 0.406 O
0.850 0.040 0.906 O
0.460 0.650 0.094 O
0.205 0.465 0.648 O
0.555 0.540 0.906 O
0.400 0.710 0.594 O
0.808 0.567 0.852 O
0.250 0.250 0.500 Li
0.000 0.500 0.000 Li
0.750 0.750 0.500 Li
0.500 0.000 0.000 Li
0.899 0.625 0.750 Mn
0.125 0.875 0.750 Mn
0.875 0.601 0.250 Mn
0.266 0.766 0.000 Mn
0.125 0.875 0.250 Mn
0.125 0.375 0.250 Mn
0.625 0.875 0.750 Mn
0.875 0.101 0.250 Mn
0.625 0.875 0.250 Mn
0.984 0.984 0.500 Mn
0.734 0.234 0.000 Mn
0.375 0.149 0.250 Mn
0.234 0.266 0.000 Mn
0.375 0.649 0.250 Mn
0.625 0.375 0.750 Mn
0.351 0.125 0.750 Mn
0.625 0.375 0.250 Mn
0.516 0.516 0.500 Mn
0.125 0.375 0.750 Mn
0.016 0.484 0.500 Mn
0.399 0.625 0.750 Mn
0.484 0.016 0.500 Mn
0.766 0.734 0.000 Mn
0.851 0.125 0.750 Mn
0.250 0.750 0.500 P
0.500 0.500 0.000 P
0.750 0.250 0.500 P
0.000 0.000 0.000 P
```

Calculated values
final energy = -12.119 eV per atom
mass density = 4.6 Mg/m³
symmetry = I4_1/acd (142)

[6]
DFT (SCAN) results for a PBEsol-optimized structure of Li2Mn2P3O12.

```
Li2Mn2P3O12
1.0
8.428 0.000 0.000
0.000 8.554 0.000
0.000 0.000 11.892
P Li O Mn
12 8 48 8
Direct
0.104 0.106 0.854 P
0.967 0.750 0.500 P
0.533 0.250 0.000 P
0.467 0.750 0.000 P
0.396 0.894 0.354 P
0.896 0.606 0.854 P
0.104 0.394 0.146 P
0.896 0.894 0.146 P
0.033 0.250 0.500 P
0.604 0.106 0.646 P
0.396 0.606 0.646 P
0.604 0.394 0.354 P
0.780 0.220 0.185 Li
0.720 0.780 0.685 Li
0.280 0.280 0.685 Li
0.220 0.720 0.185 Li
0.220 0.780 0.815 Li
0.720 0.720 0.315 Li
0.780 0.280 0.815 Li
0.280 0.220 0.315 Li
0.936 0.362 0.573 O
0.657 0.274 0.675 O
0.564 0.638 0.073 O
0.843 0.774 0.825 O
0.921 0.105 0.844 O
0.841 0.551 0.970 O
0.436 0.362 0.927 O
0.159 0.051 0.970 O
0.157 0.274 0.825 O
0.642 0.164 0.916 O
0.841 0.949 0.030 O
0.564 0.862 0.927 O
0.659 0.051 0.530 O
0.421 0.395 0.344 O
0.675 0.987 0.730 O
0.642 0.336 0.084 O
0.436 0.138 0.073 O
0.843 0.726 0.175 O
0.657 0.226 0.325 O
0.142 0.164 0.584 O
0.579 0.605 0.656 O
0.343 0.726 0.325 O
0.675 0.513 0.270 O
0.341 0.551 0.530 O
0.358 0.664 0.916 O
0.421 0.105 0.656 O
0.858 0.664 0.584 O
0.358 0.836 0.084 O
0.659 0.449 0.470 O
0.858 0.836 0.416 O
0.343 0.774 0.675 O
0.341 0.949 0.470 O
0.064 0.862 0.573 O
0.157 0.226 0.175 O
0.825 0.013 0.230 O
0.936 0.138 0.427 O
0.079 0.895 0.156 O
0.064 0.638 0.427 O
0.175 0.513 0.230 O
0.175 0.987 0.770 O
0.921 0.395 0.156 O
0.325 0.487 0.730 O
0.159 0.449 0.030 O
0.079 0.605 0.844 O
0.142 0.336 0.416 O
0.325 0.013 0.270 O
0.825 0.487 0.770 O
0.579 0.895 0.344 O
0.752 0.033 0.388 Mn
0.252 0.033 0.112 Mn
0.748 0.967 0.888 Mn
0.252 0.467 0.888 Mn
0.248 0.533 0.388 Mn
0.748 0.533 0.112 Mn
0.248 0.967 0.612 Mn
0.752 0.467 0.612 Mn
```

Calculated values
final energy = -10.149 eV per atom
mass density = 3.2 Mg/m³
symmetry = Pbcn (60)

[7]
DFT (SCAN) results for a PBEsol-optimized structure of Li3MnP2O8.

```
Li3MnP2O8
1.0
4.666 0.000 0.036
0.000 5.900 0.000
-0.312 0.000 9.938
Li P O Mn
6 4 16 2
Direct
0.478 0.750 0.718 Li
0.000 0.500 0.500 Li
0.500 0.000 0.000 Li
0.000 0.000 0.500 Li
0.500 0.500 0.000 Li
0.522 0.250 0.282 Li
0.410 0.250 0.602 P
0.936 0.750 0.908 P
0.064 0.250 0.092 P
0.590 0.750 0.398 P
0.306 0.250 0.455 O
0.272 0.456 0.675 O
0.255 0.750 0.386 O
0.728 0.956 0.325 O
0.204 0.461 0.162 O
0.741 0.250 0.086 O
0.259 0.750 0.914 O
0.204 0.039 0.162 O
0.796 0.539 0.838 O
0.694 0.750 0.545 O
0.728 0.544 0.325 O
0.745 0.250 0.614 O
0.801 0.750 0.054 O
0.199 0.250 0.946 O
0.796 0.961 0.838 O
0.272 0.044 0.675 O
0.979 0.250 0.781 Mn
0.021 0.750 0.219 Mn
```

Calculated values
final energy = -9.371 eV per atom
mass density = 3.2 Mg/m³
symmetry = P2_1/m (11)